Entry 1:
DFT (GGA-PBE) results for a geometry-optimized BeHgSO structure.

The structure in CIF format:
```
data_BeHgSO
_cell_length_a 6.383
_cell_length_b 6.799
_cell_length_c 11.716
_cell_angle_alpha 90.00
_cell_angle_beta 90.00
_cell_angle_gamma 90.00
_symmetry_space_group_name_H-M 'P b c a'
_symmetry_Int_Tables_number 61
loop_
_symmetry_equiv_pos_as_xyz
'x,y,z'
'-x,-y,-z'
'-x+1/2,-y,z+1/2'
'x+1/2,y,-z+1/2'
'x+1/2,-y+1/2,-z'
'-x+1/2,y+1/2,z'
'-x,y+1/2,-z+1/2'
'x,-y+1/2,z+1/2'
loop_
_atom_site_label
_atom_site_fract_x
_atom_site_fract_y
_atom_site_fract_z
_atom_site_occupancy
Be1 0.101 0.176 0.067 1
Hg1 0.216 0.564 0.799 1
S1 0.219 0.595 0.488 1
O1 0.101 0.216 0.197 1
```

- crystal system = orthorhombic
- distance to the lowest polymorph of the same formula (meV per atom) = 446

Entry 2:
DFT (GGA-PBE) results for a geometry-optimized BeHgSeO structure.

The structure in CIF format:
```
data_BeHgSeO
_cell_length_a 6.306
_cell_length_b 7.040
_cell_length_c 7.227
_cell_angle_alpha 90.00
_cell_angle_beta 90.00
_cell_angle_gamma 90.00
_symmetry_space_group_name_H-M 'P 21 21 21'
_symmetry_Int_Tables_number 19
loop_
_symmetry_equiv_pos_as_xyz
'x,y,z'
'-x+1/2,-y,z+1/2'
'x+1/2,-y+1/2,-z'
'-x,y+1/2,-z+1/2'
loop_
_atom_site_label
_atom_site_fract_x
_atom_site_fract_y
_atom_site_fract_z
_atom_site_occupancy
Be1 0.223 0.091 0.026 1
Hg1 0.197 0.365 0.601 1
Se1 0.070 0.361 0.952 1
O1 0.122 0.907 0.050 1
```

- crystal system = orthorhombic
- distance to the lowest polymorph of the same formula (meV per atom) = 436